<w>
The following is a PBE calculation of VZn2Co2 after structural relaxation, from Alexandria.

POSCAR file:
```
VZn2Co2
1.0
-3.2378 -2.5986 -4.1700
4.7872 -0.5440 -3.3780
0.7112 -3.3760 1.5516
Co Zn V
4 4 2
Cartesian
-1.4096 -1.7237 -3.1044
2.9590 -1.4188 -4.4436
1.3097 -0.5495 -1.7960
0.2397 -2.5931 -5.7520
-0.7490 -4.0303 -3.8142
3.0097 -2.4883 -2.1822
0.0859 -2.6419 -1.1761
2.1748 -3.8767 -4.8204
0.7747 -1.5713 -3.7740
0.0000 0.0000 0.0000
```

Results
Fermi-level density of states = 9.840 states/eV per cell
SG = P4/mbm



<x>
The following is a PBE calculation of VZn2Co2 after structural relaxation, from Alexandria.

POSCAR file:
```
VZn2Co2
1.0
-2.8007 1.2999 1.0516
0.8506 -0.6584 3.0794
1.7777 5.9018 2.4983
Co Zn V
2 2 1
Cartesian
-0.4637 1.3575 2.1459
0.2913 5.1858 4.4834
0.8267 2.7821 3.8216
-0.9990 3.7612 2.8077
0.0000 0.0000 0.0000
```

Results
Fermi-level density of states = 2.809 states/eV per cell
SG = I4/mmm



Least stable structure: <x>



<w>
The following is a PBE calculation of VZnCo after structural relaxation, from Alexandria.

POSCAR file:
```
VZnCo
1.0
2.6485 0.0000 0.0000
0.0000 5.9389 0.0000
0.0000 0.0000 5.6279
Co V Zn
2 2 2
Cartesian
1.3243 1.3745 4.2209
1.3243 4.5645 1.4070
0.0000 0.0000 2.8140
0.0000 0.0000 0.0000
0.0000 2.9695 2.8140
0.0000 2.9695 0.0000
```

Results
Fermi-level density of states = 7.261 states/eV per cell
SG = Pmma



<x>
The following is a PBE calculation of VZnCo after structural relaxation, from Alexandria.

POSCAR file:
```
VZnCo
1.0
-3.6434 0.3400 1.6844
-1.5286 -3.0596 2.1283
0.8370 1.3505 6.3549
Zn V Co
2 2 2
Cartesian
-1.2002 0.1680 7.0041
-3.1349 -1.5371 3.1635
-0.0763 0.5456 4.5418
-4.2587 -1.9146 5.6258
-3.3431 -1.1077 7.4434
-0.9920 -0.2614 2.7241
```

Results
Fermi-level density of states = 3.304 states/eV per cell
SG = R-3m



<y>
The following is a PBE calculation of VZnCo after structural relaxation, from Alexandria.

POSCAR file:
```
VZnCo
1.0
-0.3814 -2.2863 1.6086
1.6275 1.1384 2.0038
-4.4402 2.5872 0.1502
Co Zn V
1 1 1
Cartesian
-2.2253 1.1737 1.1405
-0.3301 -0.0712 2.2948
-2.6876 1.1723 3.5031
```

Results
Fermi-level density of states = 2.913 states/eV per cell
SG = I4mm



Least stable structure: <w>